Below is LiNb2TlPt after structural relaxation, with properties calculated at the PBEsol level.

Energy relative to the elements, eV per atom: 0.64
Total energy, eV/atom: -5.997
DOS(E_F), states/eV/cell: 4.55
Crystal system: tetragonal

Cell lengths 4.904, 4.904, 4.431 Å; angles 90.00, 90.00, 90.00 degrees
Space group P4/mmm (No. 123)
Asymmetric unit:
1 Li 0.000 0.000 0.000
2 Nb 0.000 0.500 0.500
3 Tl 0.500 0.500 0.000
4 Pt 0.000 0.000 0.500


Below is Rb2LiNb after structural relaxation, with properties calculated at the PBEsol level.

Energy relative to the elements, eV per atom: 1.34
Total energy, eV/atom: -2.370
DOS(E_F), states/eV/cell: 17.78
Crystal system: cubic

Cell lengths 8.792, 8.792, 8.792 Å; angles 90.00, 90.00, 90.00 degrees
Space group Fm-3m (No. 225)
Asymmetric unit:
1 Rb 0.250 0.250 0.250
2 Li 0.000 0.000 0.000
3 Nb 0.000 0.000 0.500


Below is Rb2LiNbS4 after structural relaxation, with properties calculated at the PBEsol level.

Total energy, eV/atom: -5.256
Energy relative to the elements, uncorrected, eV per atom: -1.21
DOS(E_F), states/eV/cell: 0.00
Crystal system: triclinic

Cell lengths 6.969, 11.337, 11.867 Å; angles 71.63, 88.21, 84.36 degrees
Space group P-1 (No. 2)
Asymmetric unit:
1 Rb 0.184 0.096 0.253
2 Rb 0.240 0.625 0.723
3 Rb 0.249 0.651 0.350
4 Rb 0.255 0.155 0.859
5 Li 0.265 0.475 0.069
6 Li 0.320 0.990 0.584
7 Nb 0.274 0.274 0.485
8 Nb 0.277 0.769 0.985
9 S 0.018 0.660 0.990
10 S 0.037 0.143 0.531
11 S 0.228 0.895 0.100
12 S 0.248 0.402 0.599
13 S 0.258 0.382 0.288
14 S 0.330 0.886 0.794
15 S 0.443 0.853 0.469
16 S 0.471 0.376 0.939


Below is LiNb2ReRh after structural relaxation, with properties calculated at the PBEsol level.

Energy relative to the elements, eV per atom: 1.38
Total energy, eV/atom: -7.640
DOS(E_F), states/eV/cell: 5.98
Crystal system: tetragonal

Cell lengths 4.727, 4.727, 4.371 Å; angles 90.00, 90.00, 90.00 degrees
Space group P4/mmm (No. 123)
Asymmetric unit:
1 Li 0.000 0.000 0.000
2 Nb 0.000 0.500 0.500
3 Re 0.000 0.000 0.500
4 Rh 0.500 0.500 0.000


Below is LiNbRe2Tc after structural relaxation, with properties calculated at the PBEsol level.

Energy relative to the elements, eV per atom: 1.58
Total energy, eV/atom: -8.567
DOS(E_F), states/eV/cell: 4.13
Crystal system: tetragonal

Cell lengths 4.597, 4.597, 4.116 Å; angles 90.00, 90.00, 90.00 degrees
Space group P4/mmm (No. 123)
Asymmetric unit:
1 Li 0.000 0.000 0.000
2 Nb 0.500 0.500 0.000
3 Re 0.000 0.500 0.500
4 Tc 0.000 0.000 0.500


Below is Li2NbRh after structural relaxation, with properties calculated at the PBEsol level.

Energy relative to the elements, eV per atom: 0.38
Total energy, eV/atom: -5.345
DOS(E_F), states/eV/cell: 21.09
Crystal system: cubic

Cell lengths 5.934, 5.934, 5.934 Å; angles 90.00, 90.00, 90.00 degrees
Space group Fm-3m (No. 225)
Asymmetric unit:
1 Li 0.250 0.250 0.250
2 Nb 0.000 0.000 0.000
3 Rh 0.000 0.000 0.500


DOS(E_F) of number 6 (Li2NbRh)?
21.09 states/eV/cell


Which of these has the highest total energy?
Rb2LiNb


Look up the DOS(E_F) of the second one.
17.78 states/eV/cell


What is the DOS(E_F) in the first record?
4.55 states/eV/cell